Entry 1:
First-principles (PBE) data for a relaxed PuNbAs2 crystal, as listed in the Alexandria database.

Results
As for the density of states at the Fermi level: 2.6503 states/eV per atom. The density comes out at 8.64 g/cm3. As for the formation enthalpy at 0 K: -12.43 kcal/mol of atoms. As for the offset from the most stable computed form: 221 meV per atom.

Cell: 5.4772 4.2556 16.0464 Å, 90.00 90.00 90.00°
Space group Pnma (No. 62)
Symmetry-distinct sites (fractional):
Pu (0.2504, 0.2500, 0.0554)
Nb (0.2494, 0.2500, 0.8301)
As (0.2494, 0.2500, 0.6722)
As (0.2495, 0.7500, 0.9222)

Entry 2:
First-principles (PBE) data for a relaxed PuNb2As crystal, as listed in the Alexandria database.

Results
As for the density of states at the Fermi level: 2.2245 states/eV per atom. The density comes out at 10.07 g/cm3. As for the formation enthalpy at 0 K: 6.55 kcal/mol of atoms.

Cell: 3.2335 3.2335 27.5644 Å, 90.00 90.00 120.00°
Space group R-3m (No. 166, hexagonal axes)
Symmetry-distinct sites (fractional):
Pu (0.0000, 0.0000, 0.0000)
Nb (0.0000, 0.0000, 0.0997)
As (0.0000, 0.0000, 0.5000)

Entry 3:
First-principles (PBE) data for a relaxed PuNbAs2 crystal, as listed in the Alexandria database.

Results
As for the density of states at the Fermi level: 2.5197 states/eV per atom. The density comes out at 9.48 g/cm3. As for the formation enthalpy at 0 K: -16.71 kcal/mol of atoms. As for the offset from the most stable computed form: 35 meV per atom.

Cell: 3.7532 3.7532 20.9712 Å, 90.00 90.00 120.00°
Space group R3m (No. 160, hexagonal axes)
Symmetry-distinct sites (fractional):
Pu (0.0000, 0.0000, 0.0000)
Nb (0.0000, 0.0000, 0.8264)
As (0.0000, 0.0000, 0.4214)
As (0.0000, 0.0000, 0.5697)

Entry 4:
First-principles (PBE) data for a relaxed Pu3NbAs4 crystal, as listed in the Alexandria database.

Results
As for the density of states at the Fermi level: 3.6615 states/eV per atom. The density comes out at 10.20 g/cm3. As for the formation enthalpy at 0 K: -19.94 kcal/mol of atoms.

Cell: 6.9686 8.0189 6.9597 Å, 90.00 109.67 90.00°
Space group P2/c (No. 13)
Symmetry-distinct sites (fractional):
Pu (0.0000, 0.1219, 0.2500)
Pu (0.0000, 0.3706, 0.7500)
Pu (0.5000, 0.3729, 0.2500)
Nb (0.5000, 0.1247, 0.7500)
As (0.2599, 0.3651, 0.5088)
As (0.2693, 0.1154, 0.0021)

Entry 5:
First-principles (PBE) data for a relaxed PuNbAs2 crystal, as listed in the Alexandria database.

Results
As for the density of states at the Fermi level: 2.8230 states/eV per atom. The density comes out at 9.59 g/cm3. As for the formation enthalpy at 0 K: -17.53 kcal/mol of atoms. As for the offset from the most stable computed form: 0 meV per atom.

Cell: 3.8861 3.8861 19.3416 Å, 90.00 90.00 120.00°
Space group R-3m (No. 166, hexagonal axes)
Symmetry-distinct sites (fractional):
Pu (0.0000, 0.0000, 0.0000)
Nb (0.0000, 0.0000, 0.5000)
As (0.0000, 0.0000, 0.2423)

Entry 6:
First-principles (PBE) data for a relaxed PuNbAs2Rh5 crystal, as listed in the Alexandria database.

Results
As for the density of states at the Fermi level: 1.5771 states/eV per atom. The density comes out at 9.46 g/cm3. As for the formation enthalpy at 0 K: -8.99 kcal/mol of atoms.

Cell: 4.0130 4.0130 10.9095 Å, 90.00 90.00 90.00°
Space group P4/mmm (No. 123)
Symmetry-distinct sites (fractional):
Pu (0.0000, 0.0000, 0.0000)
Nb (0.0000, 0.0000, 0.5000)
As (0.5000, 0.5000, 0.2201)
Rh (0.0000, 0.5000, 0.3444)
Rh (0.5000, 0.5000, 0.0000)

Entry 7:
First-principles (PBE) data for a relaxed Rb7NbAs4 crystal, as listed in the Alexandria database.

Results
The density comes out at 3.63 g/cm3. As for the formation enthalpy at 0 K: -9.70 kcal/mol of atoms.

Cell: 10.7592 9.6149 8.7535 Å, 90.00 90.00 90.00°
Space group Pmn2_1 (No. 31)
Symmetry-distinct sites (fractional):
Rb (0.0000, 0.0296, 0.0000)
Rb (0.0000, 0.3385, 0.7867)
Rb (0.0000, 0.8887, 0.5148)
Rb (0.2113, 0.5318, 0.4963)
Rb (0.2146, 0.1666, 0.3309)
Nb (0.0000, 0.6727, 0.1209)
As (0.0000, 0.4185, 0.1979)
As (0.0000, 0.6827, 0.8333)
As (0.1957, 0.8008, 0.2132)

Entry 8:
First-principles (PBE) data for a relaxed RbNbAs2 crystal, as listed in the Alexandria database.

Results
As for the density of states at the Fermi level: 0.5370 states/eV per atom. The density comes out at 5.49 g/cm3. As for the formation enthalpy at 0 K: -8.54 kcal/mol of atoms. As for the offset from the most stable computed form: 0 meV per atom.

Cell: 3.6776 3.6776 25.4161 Å, 90.00 90.00 120.00°
Space group R-3m (No. 166, hexagonal axes)
Symmetry-distinct sites (fractional):
Rb (0.0000, 0.0000, 0.0000)
Nb (0.0000, 0.0000, 0.5000)
As (0.0000, 0.0000, 0.2298)

Entry 9:
First-principles (PBE) data for a relaxed RbNbAs2 crystal, as listed in the Alexandria database.

Results
As for the density of states at the Fermi level: 0.0000 states/eV per atom. The density comes out at 3.67 g/cm3. As for the formation enthalpy at 0 K: -5.39 kcal/mol of atoms. As for the offset from the most stable computed form: 137 meV per atom.

Cell: 7.3302 7.3302 11.0482 Å, 90.00 90.00 90.00°
Space group I-42d (No. 122)
Symmetry-distinct sites (fractional):
Rb (0.0000, 0.0000, 0.0000)
Nb (0.0000, 0.0000, 0.5000)
As (0.1200, 0.2500, 0.6250)

Entry 10:
First-principles (PBE) data for a relaxed RbNb2As2 crystal, as listed in the Alexandria database.

Results
As for the density of states at the Fermi level: 0.7959 states/eV per atom. The density comes out at 5.45 g/cm3. As for the formation enthalpy at 0 K: -9.25 kcal/mol of atoms. As for the offset from the most stable computed form: 0 meV per atom.

Cell: 4.1716 4.1716 14.7547 Å, 90.00 90.00 90.00°
Space group I4/mmm (No. 139)
Symmetry-distinct sites (fractional):
Rb (0.0000, 0.0000, 0.0000)
Nb (0.0000, 0.5000, 0.2500)
As (0.0000, 0.0000, 0.3599)

Entry 11:
First-principles (PBE) data for a relaxed RbNbAs2 crystal, as listed in the Alexandria database.

Results
As for the density of states at the Fermi level: 1.1247 states/eV per atom. The density comes out at 6.15 g/cm3. As for the formation enthalpy at 0 K: 10.44 kcal/mol of atoms. As for the offset from the most stable computed form: 823 meV per atom.

Cell: 7.0781 7.0781 7.0781 Å, 90.00 90.00 90.00°
Space group Fm-3m (No. 225)
Symmetry-distinct sites (fractional):
Rb (0.0000, 0.0000, 0.0000)
Nb (0.0000, 0.0000, 0.5000)
As (0.2500, 0.2500, 0.2500)

Entry 12:
First-principles (PBE) data for a relaxed RbNbAs3 crystal, as listed in the Alexandria database.

Results
As for the density of states at the Fermi level: 0.4855 states/eV per atom. The density comes out at 5.00 g/cm3. As for the formation enthalpy at 0 K: -3.51 kcal/mol of atoms. As for the offset from the most stable computed form: 0 meV per atom.

Cell: 5.1150 5.1150 5.1150 Å, 90.00 90.00 90.00°
Space group Pm-3m (No. 221)
Symmetry-distinct sites (fractional):
Rb (0.0000, 0.0000, 0.0000)
Nb (0.5000, 0.5000, 0.5000)
As (0.0000, 0.5000, 0.5000)

Entry 13:
First-principles (PBE) data for a relaxed RbNbAs3 crystal, as listed in the Alexandria database.

Results
As for the density of states at the Fermi level: 2.0939 states/eV per atom. The density comes out at 4.71 g/cm3. As for the formation enthalpy at 0 K: 51.02 kcal/mol of atoms. As for the offset from the most stable computed form: 2365 meV per atom.

Cell: 5.2190 5.2190 5.2190 Å, 90.00 90.00 90.00°
Space group Pm-3m (No. 221)
Symmetry-distinct sites (fractional):
Rb (0.0000, 0.0000, 0.0000)
Nb (0.5000, 0.5000, 0.5000)
As (0.0000, 0.0000, 0.5000)

Entry 14:
First-principles (PBE) data for a relaxed Rb3Nb2AsSe11 crystal, as listed in the Alexandria database.

Results
The value obtained for the uncorrected formation energy is -745 meV/atom. The density comes out at 4.28 g/cm3.

Cell: 15.4046 13.8505 10.1851 Å, 90.00 98.26 90.00°
Space group Cc (No. 9)
Symmetry-distinct sites (fractional):
Rb (0.0000, 0.0693, 0.0000)
Rb (0.1140, 0.4188, 0.7583)
Rb (0.2491, 0.0758, 0.6638)
Nb (0.1996, 0.2284, 0.2707)
Nb (0.3832, 0.2995, 0.0863)
As (0.4651, 0.1652, 0.8217)
Se (0.0319, 0.1665, 0.6698)
Se (0.0918, 0.3055, 0.0793)
Se (0.1162, 0.3398, 0.4266)
Se (0.1335, 0.0823, 0.3291)
Se (0.2094, 0.2079, 0.0150)
Se (0.2977, 0.4599, 0.0263)
Se (0.3028, 0.4021, 0.2481)
Se (0.3245, 0.2561, 0.4740)
Se (0.3672, 0.1700, 0.2886)
Se (0.3929, 0.1110, 0.0116)
Se (0.3988, 0.3218, 0.8317)

Entry 15:
First-principles (PBE) data for a relaxed RbNbAsSe2 crystal, as listed in the Alexandria database.

Results
The value obtained for the uncorrected formation energy is 1918 meV/atom. As for the density of states at the Fermi level: 2.6698 states/eV per atom. The density comes out at 4.33 g/cm3. As for the offset from the most stable computed form: 2457 meV per atom.

Cell: 5.4533 5.4533 5.3064 Å, 90.00 90.00 90.00°
Space group P4/mmm (No. 123)
Symmetry-distinct sites (fractional):
Rb (0.0000, 0.0000, 0.0000)
Nb (0.5000, 0.5000, 0.5000)
As (0.0000, 0.0000, 0.5000)
Se (0.0000, 0.5000, 0.0000)

Entry 16:
First-principles (PBE) data for a relaxed RbNbAsSe2 crystal, as listed in the Alexandria database.

Results
The value obtained for the uncorrected formation energy is -539 meV/atom. As for the density of states at the Fermi level: 0.2250 states/eV per atom. The density comes out at 5.01 g/cm3. As for the offset from the most stable computed form: 0 meV per atom.

Cell: 5.1599 5.1599 5.1152 Å, 90.00 90.00 90.00°
Space group P4/mmm (No. 123)
Symmetry-distinct sites (fractional):
Rb (0.0000, 0.0000, 0.0000)
Nb (0.5000, 0.5000, 0.5000)
As (0.5000, 0.5000, 0.0000)
Se (0.0000, 0.5000, 0.5000)

Entry 17:
First-principles (PBE) data for a relaxed Rb2NbTcAs crystal, as listed in the Alexandria database.

Results
As for the density of states at the Fermi level: 1.4640 states/eV per atom. The density comes out at 3.50 g/cm3. As for the formation enthalpy at 0 K: 33.66 kcal/mol of atoms.

Cell: 6.6344 6.6344 4.7055 Å, 90.00 90.00 90.00°
Space group P4/mmm (No. 123)
Symmetry-distinct sites (fractional):
Rb (0.0000, 0.5000, 0.0000)
Nb (0.0000, 0.0000, 0.5000)
Tc (0.5000, 0.5000, 0.5000)
As (0.5000, 0.5000, 0.0000)

Entry 18:
First-principles (PBE) data for a relaxed RbZrNb2As crystal, as listed in the Alexandria database.

Results
As for the density of states at the Fermi level: 1.0384 states/eV per atom. The density comes out at 5.04 g/cm3. As for the formation enthalpy at 0 K: 28.53 kcal/mol of atoms.

Cell: 5.1858 5.1858 5.3610 Å, 90.00 90.00 90.00°
Space group P4/mmm (No. 123)
Symmetry-distinct sites (fractional):
Rb (0.0000, 0.0000, 0.0000)
Zr (0.5000, 0.5000, 0.5000)
Nb (0.0000, 0.5000, 0.5000)
As (0.5000, 0.5000, 0.0000)

Entry 19:
First-principles (PBE) data for a relaxed NbReAs3 crystal, as listed in the Alexandria database.

Results
As for the density of states at the Fermi level: 0.7242 states/eV per atom. The density comes out at 7.48 g/cm3. As for the formation enthalpy at 0 K: 22.75 kcal/mol of atoms. As for the offset from the most stable computed form: 0 meV per atom.

Cell: 4.8179 4.8179 4.8179 Å, 90.00 90.00 90.00°
Space group Pm-3m (No. 221)
Symmetry-distinct sites (fractional):
Nb (0.0000, 0.0000, 0.0000)
Re (0.5000, 0.5000, 0.5000)
As (0.0000, 0.5000, 0.5000)

Entry 20:
First-principles (PBE) data for a relaxed Nb2ReAs crystal, as listed in the Alexandria database.

Results
As for the density of states at the Fermi level: 0.8725 states/eV per atom. The density comes out at 10.30 g/cm3. As for the formation enthalpy at 0 K: 11.86 kcal/mol of atoms.

Cell: 3.9383 3.9383 18.5897 Å, 90.00 90.00 90.00°
Space group I-42d (No. 122)
Symmetry-distinct sites (fractional):
Nb (0.2367, 0.2500, 0.1250)
Re (0.0000, 0.0000, 0.5000)
As (0.0000, 0.0000, 0.0000)